Crystalline FeSiPb2 at its relaxed geometry. Source: the Alexandria database, functional PBE-GGA.

The uncorrected formation energy is 0.139 eV/atom. As for the crystal system: monoclinic. Its symmetry is Cm. The calculation puts the uncorrected energy at -5.19 eV per atom.

a b c (Å): 3.8799 3.8799 7.3575
angles (deg): 105.10 105.10 59.93
Last column: nearest neighbours and their distance in Å.
Element x y z (fractional)
Fe1 0.0000 0.0000 0.0000  3 Si 2.24
Si1 0.6664 0.6664 0.9988  3 Fe 2.24
Pb1 0.2388 0.2388 0.7117  3 Si 3.01, 3 Fe 3.02
Pb2 0.4278 0.4278 0.2857  3 Fe 3.00-3.01, 3 Si 3.01

---

Crystalline FeSiPb at its relaxed geometry. Source: the Alexandria database, functional PBE-GGA.

The uncorrected formation energy is 0.371 eV/atom. As for the crystal system: trigonal. The energy above the lowest structure with this stoichiometry comes out at 74.0 meV/atom. Its symmetry is P3m1. The calculation puts the uncorrected energy at -5.49 eV per atom.

a b c (Å): 3.2278 3.2278 6.1071
angles (deg): 90.00 90.00 120.00
Last column: nearest neighbours and their distance in Å.
Element x y z (fractional)
Fe1 0.0000 0.0000 0.0000  3 Si 2.32
Si1 0.3333 0.6667 0.7738  3 Fe 2.32
Pb1 0.6667 0.3333 0.3562  3 Fe 2.86, 3 Si 3.16

---

Crystalline FeSi2Pb2 at its relaxed geometry. Source: the Alexandria database, functional PBE-GGA.

The uncorrected formation energy is 0.990 eV/atom. As for the crystal system: tetragonal. The energy above the lowest structure with this stoichiometry comes out at 621.9 meV/atom. Its symmetry is I4/mmm. The calculation puts the uncorrected energy at -4.36 eV per atom.

a b c (Å): 7.2445 7.2445 7.2445
angles (deg): 144.84 144.84 50.58
Last column: nearest neighbours and their distance in Å.
Element x y z (fractional)
Fe1 0.0000 0.0000 0.0000  8 Si 3.30
Si1 0.4137 0.4137 0.0000  1 Si 2.26
Si2 0.5863 0.5863 0.0000  1 Si 2.26
Pb1 0.2500 0.7500 0.5000  4 Si 3.06, 4 Pb 3.09
Pb2 0.7500 0.2500 0.5000  4 Si 3.06, 4 Pb 3.09

---

Crystalline FeSiPb2 at its relaxed geometry. Source: the Alexandria database, functional PBE-GGA.

The uncorrected formation energy is 0.691 eV/atom. As for the crystal system: tetragonal. Its symmetry is P4/mmm. The calculation puts the uncorrected energy at -4.63 eV per atom.

a b c (Å): 4.9012 4.9012 3.6753
angles (deg): 90.00 90.00 90.00
Last column: nearest neighbours and their distance in Å.
Element x y z (fractional)
Fe1 0.0000 0.0000 0.0000  8 Pb 3.06
Si1 0.5000 0.5000 0.0000  8 Pb 3.06
Pb1 0.0000 0.5000 0.5000  4 Fe 3.06, 4 Si 3.06
Pb2 0.5000 0.0000 0.5000  4 Fe 3.06, 4 Si 3.06

---

Which formula does entry 2 have? FeSiPb

---

Which formula does entry 2 have? FeSiPb

---

Among the records above, which one has the lowest uncorrected formation energy? number 1